[1]
Zn2CdIn | GGA-PBE | relaxed

Cell and atoms, written as extended XYZ:
```
4
Lattice="-2.3040 2.2674 3.6770 -4.1011 2.5288 -0.8696 -4.3053 -1.6911 1.6045" Properties=species:S:1:pos:R:3 pbc="T T T"
Zn -2.6776 0.7763 1.1030
Zn -8.0328 2.3288 3.3089
In -5.3552 1.5525 2.2059
Cd 0.0000 0.0000 0.0000
```

## Properties
Size of the total moment (μB per atom): 0.000
V (Å³ per cell): 82.98
ΔH_f (0 K) (meV/atom): 142
Raw total energy (eV per atom): -1.409
Energy above the most stable polymorph in this dataset (meV/atom): 67.0



[2]
ZnCdIn | GGA-PBE | relaxed

Cell and atoms, written as extended XYZ:
```
3
Lattice="4.7323 0.0000 0.0000 2.3661 4.0983 0.0000 2.3661 1.3661 3.8639" Properties=species:S:1:pos:R:3 pbc="T T T"
Cd 4.7323 2.7322 1.9319
Zn 0.0000 0.0000 0.0000
In 7.0984 4.0983 2.8979
```

## Properties
Size of the total moment (μB per atom): 0.000
V (Å³ per cell): 74.94
ΔH_f (0 K) (meV/atom): 152
Raw total energy (eV per atom): -1.491



[3]
ZnCd8In2 | GGA-PBE | relaxed

Cell and atoms, written as extended XYZ:
```
11
Lattice="-1.9659 -5.3195 0.3885 0.5136 -3.3708 -6.6785 5.7001 -4.7083 1.2527" Properties=species:S:1:pos:R:3 pbc="T T T"
In 0.0014 -3.6587 -0.6179
In 4.2463 -9.7399 -4.4194
Cd 2.1034 -5.0340 -2.2244
Cd 4.2482 -6.6079 -3.8924
Cd 1.9900 -5.2210 -5.1945
Cd -0.4482 -7.4798 -3.9810
Cd 4.6960 -5.9188 -1.0563
Cd 2.1444 -8.3646 -2.8129
Cd -0.0004 -6.7907 -1.1449
Cd 2.2578 -8.1776 0.1572
Zn 0.0000 0.0000 0.0000
```

## Properties
Size of the total moment (μB per atom): 0.000
V (Å³ per cell): 282.57
ΔH_f (0 K) (meV/atom): 93
Raw total energy (eV per atom): -1.186



[4]
ZnCd2In2 | GGA-PBE | relaxed

Cell and atoms, written as extended XYZ:
```
10
Lattice="-2.3920 1.2937 6.7329 -1.8107 -6.9969 0.7011 4.2797 -0.9372 1.7005" Properties=species:S:1:pos:R:3 pbc="T T T"
In 0.5389 -4.9109 2.4311
In 1.0401 -1.1939 3.2184
In -0.9631 -5.4465 5.9160
In -0.4619 -1.7295 6.7033
Cd -2.3968 -5.5223 2.9886
Cd -3.2130 -3.4080 6.2080
Cd -1.8059 -0.1809 4.4453
Cd -0.9897 -2.2952 1.2259
Zn 0.0000 0.0000 0.0000
Zn -2.1014 -2.8516 3.7170
```

## Properties
Size of the total moment (μB per atom): 0.000
V (Å³ per cell): 247.79
ΔH_f (0 K) (meV/atom): 119
Raw total energy (eV per atom): -1.597
Energy above the most stable polymorph in this dataset (meV/atom): 61.4



[5]
Zn2CdIn | GGA-PBE | relaxed

Cell and atoms, written as extended XYZ:
```
4
Lattice="-2.5121 -1.2546 -3.0730 -1.3799 -1.8267 1.8737 -5.4836 3.1222 3.2079" Properties=species:S:1:pos:R:3 pbc="T T T"
Zn -1.4366 -1.7123 1.8734
Zn -3.3749 0.5334 2.5411
Cd -2.9719 -0.3034 -0.2661
In -6.4036 0.3443 2.2747
```

## Properties
Size of the total moment (μB per atom): 0.000
V (Å³ per cell): 80.77
ΔH_f (0 K) (meV/atom): 108
Raw total energy (eV per atom): -1.443
Energy above the most stable polymorph in this dataset (meV/atom): 33.3



[6]
Zn2CdIn | GGA-PBE | relaxed

Cell and atoms, written as extended XYZ:
```
4
Lattice="-0.3463 -0.6183 -3.2008 2.4120 -1.4839 -1.6517 -2.6899 -8.7512 -0.1004" Properties=species:S:1:pos:R:3 pbc="T T T"
Zn -1.8268 -6.6857 -0.4830
Zn -0.1783 -2.7567 -1.2228
Cd -0.3023 -5.4329 -2.4973
In 1.3711 -1.4048 -3.2262
```

## Properties
Size of the total moment (μB per atom): 0.000
V (Å³ per cell): 82.40
ΔH_f (0 K) (meV/atom): 129
Raw total energy (eV per atom): -1.421
Energy above the most stable polymorph in this dataset (meV/atom): 54.3



Question: size of the total moment of number 1 (Zn2CdIn)?
Answer: 0.000 μB per atom



Question: V of number 1 (Zn2CdIn)?
Answer: 82.98 Å³ per cell



Question: Look up the V of the sixth one.
Answer: 82.40 Å³ per cell